[1]
# K3BiP2S8

A relaxed structure of K3BiP2S8 (PBEsol, Alexandria).

Unit cell a=6.7123 b=8.9260 c=24.1027 alpha=90.00 beta=90.00 gamma=90.00
Last column: nearest neighbours and their distance in Å.
Element x y z (fractional)
1 K 0.0042 0.1125 0.2866  8 S 3.09-3.39
2 K 0.0044 0.2505 0.0859  6 S 3.11-3.43
3 K 0.0092 0.5088 0.8089  6 S 3.26-3.55
4 K 0.4908 0.4912 0.3089  6 S 3.26-3.55
5 K 0.4956 0.7495 0.5859  6 S 3.11-3.43
6 K 0.4958 0.8875 0.7866  8 S 3.09-3.39
7 K 0.5044 0.2495 0.9141  6 S 3.11-3.43
8 K 0.5042 0.3875 0.7134  8 S 3.09-3.39
9 K 0.5092 0.9912 0.1911  6 S 3.26-3.55
10 K 0.9908 0.0088 0.6911  6 S 3.26-3.55
11 K 0.9958 0.6125 0.2134  8 S 3.09-3.39
12 K 0.9956 0.7505 0.4141  6 S 3.11-3.43
13 Bi 0.0611 0.3499 0.5509  5 S 2.72-2.92
14 Bi 0.4389 0.6501 0.0509  5 S 2.72-2.92
15 Bi 0.5611 0.1501 0.4491  5 S 2.72-2.92
16 Bi 0.9389 0.8499 0.9491  5 S 2.72-2.92
17 P 0.0018 0.0980 0.8409  4 S 2.01-2.09
18 P 0.0161 0.8542 0.0889  4 S 2.00-2.07
19 P 0.4839 0.1458 0.5889  4 S 2.00-2.07
20 P 0.4982 0.9020 0.3409  4 S 2.01-2.09
21 P 0.5018 0.4020 0.1591  4 S 2.01-2.09
22 P 0.5161 0.6458 0.9111  4 S 2.00-2.07
23 P 0.9839 0.3542 0.4111  4 S 2.00-2.07
24 P 0.9982 0.5980 0.6591  4 S 2.01-2.09
25 S 0.0171 0.6459 0.5742  1 P 2.09
26 S 0.0240 0.8664 0.8360  1 P 2.08
27 S 0.0251 0.9339 0.1663  1 P 2.00
28 S 0.0464 0.6239 0.0824  1 P 2.07
29 S 0.2405 0.9400 0.0403  1 P 2.06
30 S 0.2426 0.6742 0.6982  1 P 2.01
31 S 0.2476 0.4182 0.4480  1 P 2.06
32 S 0.2492 0.1896 0.8085  1 P 2.01
33 S 0.2508 0.8104 0.3085  1 P 2.01
34 S 0.2524 0.5818 0.9480  1 P 2.06
35 S 0.2574 0.3258 0.1982  1 P 2.01
36 S 0.2595 0.0600 0.5403  1 P 2.06
37 S 0.4536 0.3761 0.5824  1 P 2.07
38 S 0.4749 0.0661 0.6663  1 P 2.00
39 S 0.4760 0.1336 0.3360  1 P 2.08
40 S 0.4829 0.3541 0.0742  1 P 2.09
41 S 0.5171 0.8541 0.4258  1 P 2.09
42 S 0.5240 0.6336 0.1640  1 P 2.08
43 S 0.5251 0.5661 0.8337  1 P 2.00
44 S 0.5464 0.8761 0.9176  1 P 2.07
45 S 0.7405 0.5600 0.9597  1 P 2.06
46 S 0.7426 0.8258 0.3018  1 P 2.01
47 S 0.7476 0.0818 0.5520  1 P 2.06
48 S 0.7492 0.3104 0.1915  1 P 2.01
49 S 0.7508 0.6896 0.6915  1 P 2.01
50 S 0.7524 0.9182 0.0520  1 P 2.06
51 S 0.7574 0.1742 0.8018  1 P 2.01
52 S 0.7595 0.4400 0.4597  1 P 2.06
53 S 0.9536 0.1239 0.4176  1 P 2.07
54 S 0.9749 0.4339 0.3337  1 P 2.00
55 S 0.9760 0.3664 0.6640  1 P 2.08
56 S 0.9829 0.1459 0.9258  1 P 2.09

Values from the calculation:
The uncorrected formation energy comes out at -73 kJ per mole of atoms. The calculation puts the density of states at the Fermi level at 0.00 states/eV/cell. Its crystal system is orthorhombic. Its space group is P2_12_12_1. The calculation puts the total energy at -259.5 eV for the cell shown.

***

[2]
# TaTlO3

A relaxed structure of TaTlO3 (PBEsol, Alexandria).

Unit cell a=7.5240 b=7.5240 c=7.5240 alpha=60.00 beta=60.00 gamma=60.00
Last column: nearest neighbours and their distance in Å.
Element x y z (fractional)
1 Ta 0.0000 0.0000 0.0000  6 O 1.99
2 Ta 0.0000 0.0000 0.5000  6 O 1.99
3 Ta 0.0000 0.5000 0.0000  6 O 1.99
4 Ta 0.5000 0.0000 0.0000  6 O 1.99
5 Tl 0.0000 0.5000 0.5000  6 O 2.75
6 Tl 0.5000 0.0000 0.5000  6 O 2.75
7 Tl 0.5000 0.5000 0.0000  6 O 2.75
8 Tl 0.5000 0.5000 0.5000  6 O 2.75
9 O 0.0610 0.0610 0.6890  2 Ta 1.99
10 O 0.0610 0.6890 0.0610  2 Ta 1.99
11 O 0.0610 0.6890 0.6890  2 Ta 1.99
12 O 0.3110 0.3110 0.9390  2 Ta 1.99
13 O 0.3110 0.9390 0.3110  2 Ta 1.99
14 O 0.3110 0.9390 0.9390  2 Ta 1.99
15 O 0.6890 0.0610 0.0610  2 Ta 1.99
16 O 0.6890 0.0610 0.6890  2 Ta 1.99
17 O 0.6890 0.6890 0.0610  2 Ta 1.99
18 O 0.9390 0.3110 0.3110  2 Ta 1.99
19 O 0.9390 0.3110 0.9390  2 Ta 1.99
20 O 0.9390 0.9390 0.3110  2 Ta 1.99

Values from the calculation:
The uncorrected formation energy comes out at -218 kJ per mole of atoms. The calculation puts the density of states at the Fermi level at 0.65 states/eV/cell. Its crystal system is cubic. Its space group is Fd-3m. The calculation puts the total energy at -168.9 eV for the cell shown.

***

[3]
# MgGeMoIr2

A relaxed structure of MgGeMoIr2 (PBEsol, Alexandria).

Unit cell a=4.6482 b=4.6482 c=4.9313 alpha=90.00 beta=90.00 gamma=90.00
Last column: nearest neighbours and their distance in Å.
Element x y z (fractional)
1 Mg 0.0000 0.0000 0.0000  2 Mo 2.47
2 Ge 0.5000 0.5000 0.0000  4 Mg 3.29, 8 Ir 3.39
3 Mo 0.0000 0.0000 0.5000  4 Ir 2.32, 2 Mg 2.47
4 Ir 0.0000 0.5000 0.5000  2 Mo 2.32
5 Ir 0.5000 0.0000 0.5000  2 Mo 2.32

Values from the calculation:
The formation energy is 6.86 eV per formula unit. The calculation puts the density of states at the Fermi level at 4.31 states/eV/cell. Its crystal system is tetragonal. Its space group is P4/mmm. The calculation puts the total energy at -31.2 eV for the cell shown.

***

[4]
# TiPN3

A relaxed structure of TiPN3 (PBEsol, Alexandria).

Unit cell a=2.8142 b=5.0163 c=5.0163 alpha=64.05 beta=90.00 gamma=90.00
Last column: nearest neighbours and their distance in Å.
Element x y z (fractional)
1 Ti 0.0000 0.0000 0.0000  5 N 1.97-1.99
2 P 0.5000 0.3465 0.3465  4 N 1.61-1.70
3 N 0.0000 0.2345 0.2345  2 P 1.70
4 N 0.5000 0.1934 0.7034  1 P 1.61
5 N 0.5000 0.7034 0.1934  1 P 1.61

Values from the calculation:
The uncorrected formation energy comes out at -90 kJ per mole of atoms. Its crystal system is orthorhombic. Its space group is Amm2. The calculation puts the total energy at -44.4 eV for the cell shown.

***

[5]
# Ba2HgMo

A relaxed structure of Ba2HgMo (PBEsol, Alexandria).

Unit cell a=4.5658 b=4.5658 c=9.0451 alpha=98.04 beta=98.04 gamma=46.13
Last column: nearest neighbours and their distance in Å.
Element x y z (fractional)
1 Ba 0.2483 0.2483 0.2282  3 Mo 3.17-3.24, 3 Hg 3.46-3.48
2 Ba 0.7517 0.7517 0.7718  3 Mo 3.17-3.24, 3 Hg 3.46-3.48
3 Hg 0.0000 0.0000 0.5000  6 Ba 3.46-3.48, 2 Hg 3.58
4 Mo 0.5000 0.5000 0.0000  6 Ba 3.17-3.24

Values from the calculation:
The formation energy is 3.24 eV per formula unit. The calculation puts the density of states at the Fermi level at 3.84 states/eV/cell. Its crystal system is monoclinic. Its space group is C2/m. The calculation puts the total energy at -13.4 eV for the cell shown.

***

[6]
# Ba2MnTcHg

A relaxed structure of Ba2MnTcHg (PBEsol, Alexandria).

Unit cell a=6.2617 b=6.2617 c=5.0588 alpha=90.00 beta=90.00 gamma=90.00
Last column: nearest neighbours and their distance in Å.
Element x y z (fractional)
1 Ba 0.0000 0.5000 0.0000  2 Hg 3.13
2 Ba 0.5000 0.0000 0.0000  2 Hg 3.13
3 Mn 0.0000 0.0000 0.5000  8 Ba 4.02, 4 Tc 4.43
4 Tc 0.5000 0.5000 0.5000  2 Hg 2.53
5 Hg 0.5000 0.5000 0.0000  2 Tc 2.53

Values from the calculation:
The formation energy is 6.17 eV per formula unit. The calculation puts the density of states at the Fermi level at 6.70 states/eV/cell. Its crystal system is tetragonal. Its space group is P4/mmm. The calculation puts the total energy at -19.7 eV for the cell shown.

***

[7]
# NiBrCl

A relaxed structure of NiBrCl (PBEsol, Alexandria).

Unit cell a=4.5293 b=4.5293 c=4.5293 alpha=60.00 beta=60.00 gamma=60.00
Last column: nearest neighbours and their distance in Å.
Element x y z (fractional)
1 Ni 0.0000 0.0000 0.0000  4 Br 2.77
2 Br 0.2500 0.2500 0.2500  4 Cl 2.77, 4 Ni 2.77
3 Cl 0.5000 0.5000 0.5000  4 Br 2.77

Values from the calculation:
The uncorrected formation energy comes out at 76 kJ per mole of atoms. The calculation puts the density of states at the Fermi level at 4.53 states/eV/cell. Its crystal system is cubic. The polymorph energy (0 for the lowest one) is 1.230 eV per atom. Its space group is F-43m. The calculation puts the total energy at -7.7 eV for the cell shown.

***

[8]
# RbCaHBr2

A relaxed structure of RbCaHBr2 (PBEsol, Alexandria).

Unit cell a=5.7274 b=5.7274 c=4.3384 alpha=90.00 beta=90.00 gamma=90.00
Last column: nearest neighbours and their distance in Å.
Element x y z (fractional)
1 Rb 0.0000 0.0000 0.0000  8 Br 3.59
2 Ca 0.5000 0.5000 0.5000  2 H 2.17
3 H 0.5000 0.5000 0.0000  2 Ca 2.17
4 Br 0.0000 0.5000 0.5000  2 Ca 2.86
5 Br 0.5000 0.0000 0.5000  2 Ca 2.86

Values from the calculation:
The calculation puts the density of states at the Fermi level at 0.00 states/eV/cell. Its crystal system is tetragonal. Its space group is P4/mmm. The calculation puts the total energy at -17.3 eV for the cell shown.

***

[9]
# ErGa3Os

A relaxed structure of ErGa3Os (PBEsol, Alexandria).

Unit cell a=6.3155 b=6.3155 c=6.3155 alpha=90.00 beta=90.00 gamma=90.00
Last column: nearest neighbours and their distance in Å.
Element x y z (fractional)
1 Er 0.0000 0.0000 0.5000  10 Ga 2.90-3.16, 4 Os 3.16
2 Er 0.0000 0.5000 0.0000  10 Ga 2.90-3.16, 4 Os 3.16
3 Er 0.5000 0.0000 0.0000  10 Ga 2.90-3.16, 4 Os 3.16
4 Ga 0.0000 0.0000 0.0000  8 Ga 3.15, 6 Er 3.16
5 Ga 0.2879 0.2879 0.2879  3 Os 2.63, 3 Ga 2.68, 3 Er 2.90
6 Ga 0.2879 0.2879 0.7121  3 Os 2.63, 3 Ga 2.68, 3 Er 2.90
7 Ga 0.2879 0.7121 0.2879  3 Os 2.63, 3 Ga 2.68, 3 Er 2.90
8 Ga 0.2879 0.7121 0.7121  3 Os 2.63, 3 Ga 2.68, 3 Er 2.90
9 Ga 0.7121 0.2879 0.2879  3 Os 2.63, 3 Ga 2.68, 3 Er 2.90
10 Ga 0.7121 0.2879 0.7121  3 Os 2.63, 3 Ga 2.68, 3 Er 2.90
11 Ga 0.7121 0.7121 0.2879  3 Os 2.63, 3 Ga 2.68, 3 Er 2.90
12 Ga 0.7121 0.7121 0.7121  3 Os 2.63, 3 Ga 2.68, 3 Er 2.90
13 Os 0.0000 0.5000 0.5000  8 Ga 2.63
14 Os 0.5000 0.0000 0.5000  8 Ga 2.63
15 Os 0.5000 0.5000 0.0000  8 Ga 2.63

Values from the calculation:
The formation energy is -2.66 eV per formula unit. The calculation puts the density of states at the Fermi level at 6.30 states/eV/cell. Its crystal system is cubic. Its space group is Pm-3m. The calculation puts the total energy at -89.5 eV for the cell shown.

***

[10]
# Na2ZrN

A relaxed structure of Na2ZrN (PBEsol, Alexandria).

Unit cell a=6.9202 b=6.9202 c=6.9202 alpha=95.22 beta=95.22 gamma=144.89
Last column: nearest neighbours and their distance in Å.
Element x y z (fractional)
1 Na 0.3750 0.2432 0.3682  2 N 2.63
2 Na 0.7568 0.1250 0.1318  2 N 2.63
3 Na 0.8750 0.0068 0.6318  2 N 2.63
4 Na 0.9932 0.6250 0.8682  2 N 2.63
5 Zr 0.2500 0.7500 0.5000  2 N 2.09
6 Zr 0.5000 0.5000 0.0000  2 N 2.09
7 N 0.0000 0.0000 0.0000  2 Zr 2.09
8 N 0.7500 0.2500 0.5000  2 Zr 2.09

Values from the calculation:
The uncorrected formation energy comes out at 12 kJ per mole of atoms. The calculation puts the density of states at the Fermi level at 6.90 states/eV/cell. Its crystal system is tetragonal. Its space group is I-42d. The calculation puts the total energy at -39.8 eV for the cell shown.

***

[11]
# Re2TcTe

A relaxed structure of Re2TcTe (PBEsol, Alexandria).

Unit cell a=4.5300 b=4.5300 c=3.0708 alpha=90.00 beta=90.00 gamma=90.00
Last column: nearest neighbours and their distance in Å.
Element x y z (fractional)
1 Re 0.0000 0.5000 0.0000  4 Te 2.74, 4 Tc 2.74
2 Re 0.5000 0.0000 0.0000  4 Te 2.74, 4 Tc 2.74
3 Tc 0.0000 0.0000 0.5000  8 Re 2.74
4 Te 0.5000 0.5000 0.5000  8 Re 2.74

Values from the calculation:
The uncorrected formation energy comes out at 65 kJ per mole of atoms. The calculation puts the density of states at the Fermi level at 3.17 states/eV/cell. Its crystal system is tetragonal. Its space group is P4/mmm. The calculation puts the total energy at -38.7 eV for the cell shown.

***

[12]
# CuRh3

A relaxed structure of CuRh3 (PBEsol, Alexandria).

Unit cell a=4.2182 b=4.2182 c=4.2182 alpha=60.00 beta=60.00 gamma=60.00
Last column: nearest neighbours and their distance in Å.
Element x y z (fractional)
1 Cu 0.0000 0.0000 0.0000  8 Rh 2.58
2 Rh 0.2500 0.2500 0.2500  4 Rh 2.58, 4 Cu 2.58
3 Rh 0.5000 0.5000 0.5000  8 Rh 2.58
4 Rh 0.7500 0.7500 0.7500  4 Rh 2.58, 4 Cu 2.58

Values from the calculation:
The formation energy is 1.11 eV per formula unit. The calculation puts the density of states at the Fermi level at 6.89 states/eV/cell. Its crystal system is cubic. Its space group is Fm-3m. The calculation puts the total energy at -27.6 eV for the cell shown.